(1)
VASP calculation (meta-GGA SCAN) on a PBEsol-optimized structure of CaAl2Rh.

DFT formation energy ... -2.88 eV/f.u.
Space-group type ... R-3m (166)
Density of states at the Fermi level ... 1.12 states/eV/f.u.

Cell lengths 4.2374, 4.2374, 5.7472 Å; angles 68.37, 68.37, 60.00 degrees
With the nearest neighbours (Å) after each atom.
Sites, in units of the cell vectors:
Ca (0.0000, 0.0000, 0.0000)  8 Al 3.13-3.21
Rh (0.5000, 0.5000, 0.5000)  6 Al 2.50
Al (0.7996, 0.7996, 0.6013)  3 Rh 2.50, 3 Al 2.66
Al (0.2004, 0.2004, 0.3987)  3 Rh 2.50, 3 Al 2.66

---

(2)
VASP calculation (meta-GGA SCAN) on a PBEsol-optimized structure of CaAl2TeRh.

Space-group type ... P4/mmm (123)
Raw formation energy ... 7.2 eV/f.u.
Density of states at the Fermi level ... 3.60 states/eV/f.u.

Cell lengths 5.2620, 5.2620, 5.4054 Å; angles 90.00, 90.00, 90.00 degrees
With the nearest neighbours (Å) after each atom.
Sites, in units of the cell vectors:
Ca (0.0000, 0.0000, 0.0000)  4 Al 2.63, 2 Te 2.70
Te (0.0000, 0.0000, 0.5000)  2 Ca 2.70
Rh (0.5000, 0.5000, 0.5000)  4 Te 3.72, 8 Al 3.77
Al (0.0000, 0.5000, 0.0000)  2 Ca 2.63
Al (0.5000, 0.0000, 0.0000)  2 Ca 2.63